YAl2ZnAu2, optimized geometry, DFT PBE-GGA; volume = 114.1 Å³/f.u.; space-group type = P-3m1; E_tot = -25.069 eV/cell; energy relative to the elements = -3.292 eV per formula unit
1.0
4.411 0.000 0.000
-2.205 3.820 0.000
0.000 0.000 6.773
Y Al Zn Au
1 2 1 2
direct
0.000 0.000 0.000
0.667 0.333 0.694
0.333 0.667 0.306
0.000 0.000 0.500
0.667 0.333 0.276
0.333 0.667 0.724